Entry 1:
# AcPr3Pt PBE relaxed
data_AcPr3Pt
_cell_length_a 5.7715
_cell_length_b 5.7715
_cell_length_c 5.7715
_cell_angle_alpha 90.00
_cell_angle_beta 90.00
_cell_angle_gamma 90.00
_symmetry_space_group_name_H-M 'P m -3 m'
_symmetry_Int_Tables_number 221
_symmetry_space_group_name_Hall '-P 4 2 3'
loop_
_atom_site_label
_atom_site_fract_x
_atom_site_fract_y
_atom_site_fract_z
Ac1 0.0000 0.0000 0.0000
Pr1 0.0000 0.5000 0.5000
Pt1 0.5000 0.5000 0.5000
# energy relative to the lowest polymorph listed for this composition: 95 meV/atom
# total magnetic moment: 0.50 μB per formula unit
# ΔH_f (0 K): -0.30 eV/atom
# calculated total energy: -0.1911 Ha/atom

---

Entry 2:
# Y2Er5Th4 PBE relaxed
data_Y2Er5Th4
_cell_length_a 3.5652
_cell_length_b 8.6294
_cell_length_c 11.8248
_cell_angle_alpha 104.59
_cell_angle_beta 98.60
_cell_angle_gamma 90.06
_symmetry_space_group_name_H-M 'P -1'
_symmetry_Int_Tables_number 2
_symmetry_space_group_name_Hall '-P 1'
loop_
_atom_site_label
_atom_site_fract_x
_atom_site_fract_y
_atom_site_fract_z
Y1 0.0900 0.2211 0.1805
Er1 0.0000 0.5000 0.0000
Er2 0.2720 0.6856 0.5436
Er3 0.3635 0.4033 0.7267
Th1 0.1819 0.9528 0.3648
Th2 0.4535 0.1379 0.9072
# energy relative to the lowest polymorph listed for this composition: 0 meV/atom
# total magnetic moment: 0.00 μB per formula unit
# ΔH_f (0 K): 0.03 eV/atom
# calculated total energy: -0.2176 Ha/atom

---

Entry 3:
# Er6NiAg PBE relaxed
data_Er6NiAg
_cell_length_a 6.6690
_cell_length_b 6.6727
_cell_length_c 7.2541
_cell_angle_alpha 90.06
_cell_angle_beta 117.31
_cell_angle_gamma 119.95
_symmetry_space_group_name_H-M 'P -1'
_symmetry_Int_Tables_number 2
_symmetry_space_group_name_Hall '-P 1'
loop_
_atom_site_label
_atom_site_fract_x
_atom_site_fract_y
_atom_site_fract_z
Er1 0.0291 0.0819 0.2594
Er2 0.3122 0.7303 0.2594
Er3 0.3217 0.5523 0.7406
Ni1 0.5000 0.5000 0.5000
Ag1 0.5000 0.0000 0.0000
# total magnetic moment: 0.00 μB per formula unit
# ΔH_f (0 K): 0.02 eV/atom
# calculated total energy: -0.1648 Ha/atom

---

Entry 4:
# Mg2Si3 PBE relaxed
data_Mg2Si3
_cell_length_a 11.7202
_cell_length_b 3.9649
_cell_length_c 8.1315
_cell_angle_alpha 90.00
_cell_angle_beta 107.38
_cell_angle_gamma 90.00
_symmetry_space_group_name_H-M 'C 1 2/m 1'
_symmetry_Int_Tables_number 12
_symmetry_space_group_name_Hall '-C 2y'
loop_
_atom_site_label
_atom_site_fract_x
_atom_site_fract_y
_atom_site_fract_z
Mg1 0.1214 0.0000 0.4003
Mg2 0.1422 0.0000 0.0030
Si1 0.0362 0.5000 0.1570
Si2 0.0889 0.5000 0.6500
Si3 0.2404 0.0000 0.7389
# energy relative to the lowest polymorph listed for this composition: 76 meV/atom
# ΔE_f (raw): 105 meV/atom
# total magnetic moment: 0.00 μB per formula unit
# calculated total energy: -0.1392 Ha/atom

---

Entry 5:
# Dy7Al2Hg2 PBE relaxed
data_Dy7Al2Hg2
_cell_length_a 7.6915
_cell_length_b 10.9095
_cell_length_c 7.6985
_cell_angle_alpha 90.00
_cell_angle_beta 90.00
_cell_angle_gamma 90.00
_symmetry_space_group_name_H-M 'C m m m'
_symmetry_Int_Tables_number 65
_symmetry_space_group_name_Hall '-C 2 2'
loop_
_atom_site_label
_atom_site_fract_x
_atom_site_fract_y
_atom_site_fract_z
Dy1 0.0000 0.0000 0.0000
Dy2 0.0000 0.5000 0.2714
Dy3 0.2500 0.2500 0.2905
Al1 0.1693 0.0000 0.5000
Hg1 0.0000 0.2921 0.0000
# total magnetic moment: 0.00 μB per formula unit
# ΔH_f (0 K): -0.04 eV/atom
# calculated total energy: -0.1363 Ha/atom

---

Entry 6:
# NiBSCl2 PBE relaxed
data_NiBSCl2
_cell_length_a 4.1725
_cell_length_b 4.1725
_cell_length_c 4.5905
_cell_angle_alpha 90.00
_cell_angle_beta 90.00
_cell_angle_gamma 90.00
_symmetry_space_group_name_H-M 'P 4/m m m'
_symmetry_Int_Tables_number 123
_symmetry_space_group_name_Hall '-P 4 2'
loop_
_atom_site_label
_atom_site_fract_x
_atom_site_fract_y
_atom_site_fract_z
Ni1 0.0000 0.0000 0.0000
B1 0.5000 0.5000 0.5000
S1 0.5000 0.5000 0.0000
Cl1 0.0000 0.5000 0.5000
# energy relative to the lowest polymorph listed for this composition: 0 meV/atom
# ΔE_f (raw): 758 meV/atom
# total magnetic moment: 1.62 μB per formula unit
# calculated total energy: -0.1212 Ha/atom